# 1
A relaxed ScSnO crystal, computed with GGA-PBE.

Cell lengths 7.1406, 3.3250, 3.3250 Å; angles 120.00, 90.00, 90.00 degrees
Last column: nearest neighbours and their distance in Å.
Fractional coordinates of all 3 atoms:
Sc1 0.2312 0.0000 0.0000  3 O 2.01
Sn1 0.6188 0.6667 0.3333  6 Sn 3.33, 3 Sc 3.37
O1 0.1500 0.3333 0.6667  3 Sc 2.01

Output
Calculated volume ... 22.8 Å³ per atom

# 2
A relaxed ScIr2N crystal, computed with GGA-PBE.

Cell lengths 6.8430, 6.8430, 5.4510 Å; angles 51.12, 51.12, 90.00 degrees
Last column: nearest neighbours and their distance in Å.
Fractional coordinates of all 8 atoms:
Sc1 0.0000 0.0000 0.0000  2 N 2.51, 4 Ir 2.68
Sc2 0.7500 0.2500 0.5000  2 N 2.51, 4 Ir 2.68
Ir1 0.4970 0.1250 0.2500  2 N 2.00
Ir2 0.2530 0.6250 0.2500  2 N 2.00
Ir3 0.3750 0.5030 0.7500  2 N 2.00
Ir4 0.8750 0.7470 0.7500  2 N 2.00
N1 0.5000 0.5000 0.0000  4 Ir 2.00
N2 0.2500 0.7500 0.5000  4 Ir 2.00

Output
Calculated volume ... 14.7 Å³ per atom

# 3
A relaxed YHoSb2 crystal, computed with GGA-PBE.

Cell lengths 4.3530, 4.3532, 7.4677 Å; angles 90.00, 90.00, 120.00 degrees
Last column: nearest neighbours and their distance in Å.
Fractional coordinates of all 4 atoms:
Y1 0.0000 0.5000 0.5000  6 Sb 3.14
Ho1 0.0000 0.5000 0.0000  6 Sb 3.12
Sb1 0.6667 0.8334 0.7517  3 Ho 3.12, 3 Y 3.14
Sb2 0.3333 0.1666 0.2483  3 Ho 3.12, 3 Y 3.14

Output
Calculated volume ... 30.6 Å³ per atom

Calculated values (kJ per mole of atoms) of energy relative to the elements, uncorrected for the records, taken in order: -177.2 -13.3 -103.5.
Calculated values (g/cm³) of calculated density for the records, taken in order: 4.4 12.5 6.7.